Record 1
A plane-wave DFT calculation with PBE was carried out for a relaxed structure of TaAlCl2.

Cell and atoms, written as CIF:
```
data_TaAlCl2
_chemical_formula_sum 'Ta2 Al2 Cl4'
_cell_length_a 3.0793
_cell_length_b 5.7412
_cell_length_c 9.9318
_cell_angle_alpha 90.00
_cell_angle_beta 90.00
_cell_angle_gamma 90.00
_space_group_name_H-M_alt 'C m m 2'
_space_group_IT_number 35
loop_
_space_group_symop_operation_xyz
'x,y,z'
'-x,-y,z'
'-x,y,z'
'x,-y,z'
'x+1/2,y+1/2,z'
'-x+1/2,-y+1/2,z'
'-x+1/2,y+1/2,z'
'x+1/2,-y+1/2,z'
loop_
_atom_site_label
_atom_site_fract_x
_atom_site_fract_y
_atom_site_fract_z
_atom_site_occupancy
Ta1 0.0000 0.0000 0.0000 1
Al1 0.0000 0.5000 0.7742 1
Cl1 0.0000 0.0000 0.5924 1
Cl2 0.0000 0.5000 0.1953 1
```

Its crystal system is orthorhombic. The calculation puts the formation energy without anion corrections at -0.50 eV per atom. As for the energy above the most stable polymorph in this dataset: 108 kJ/mol of formula units. The calculation puts the final energy at -42.6 eV per cell.


Record 2
A plane-wave DFT calculation with PBE was carried out for a relaxed structure of TaAl2Cl.

Cell and atoms, written as CIF:
```
data_TaAl2Cl
_chemical_formula_sum 'Ta2 Al4 Cl2'
_cell_length_a 10.2868
_cell_length_b 2.9287
_cell_length_c 4.6329
_cell_angle_alpha 90.00
_cell_angle_beta 95.80
_cell_angle_gamma 90.00
_space_group_name_H-M_alt 'C 1 2/m 1'
_space_group_IT_number 12
loop_
_space_group_symop_operation_xyz
'x,y,z'
'-x,-y,-z'
'-x,y,-z'
'x,-y,z'
'x+1/2,y+1/2,z'
'-x+1/2,-y+1/2,-z'
'-x+1/2,y+1/2,-z'
'x+1/2,-y+1/2,z'
loop_
_atom_site_label
_atom_site_fract_x
_atom_site_fract_y
_atom_site_fract_z
_atom_site_occupancy
Ta1 0.0000 0.0000 0.0000 1
Al1 0.2319 0.5000 0.2364 1
Cl1 0.0000 0.5000 0.5000 1
```

Its crystal system is monoclinic. The calculation puts the formation energy without anion corrections at 0.18 eV per atom. As for the energy above the most stable polymorph in this dataset: 173 kJ/mol of formula units. The calculation puts the final energy at -40.9 eV per cell.


Record 3
A plane-wave DFT calculation with PBE was carried out for a relaxed structure of TaAlCl3.

Cell and atoms, written as CIF:
```
data_TaAlCl3
_chemical_formula_sum 'Ta1 Al1 Cl3'
_cell_length_a 4.8863
_cell_length_b 4.8863
_cell_length_c 4.8863
_cell_angle_alpha 90.00
_cell_angle_beta 90.00
_cell_angle_gamma 90.00
_space_group_name_H-M_alt 'P m -3 m'
_space_group_IT_number 221
_space_group_name_Hall '-P 4 2 3'
loop_
_atom_site_label
_atom_site_fract_x
_atom_site_fract_y
_atom_site_fract_z
_atom_site_occupancy
Ta1 0.0000 0.0000 0.0000 1
Al1 0.5000 0.5000 0.5000 1
Cl1 0.0000 0.5000 0.5000 1
```

Its crystal system is cubic. The calculation puts the formation energy without anion corrections at 0.46 eV per atom. As for the energy above the most stable polymorph in this dataset: 310 kJ/mol of formula units. The calculation puts the final energy at -18.8 eV per cell.


Record 4
A plane-wave DFT calculation with PBE was carried out for a relaxed structure of TaAlCl.

Cell and atoms, written as CIF:
```
data_TaAlCl
_chemical_formula_sum 'Ta2 Al2 Cl2'
_cell_length_a 2.9449
_cell_length_b 2.9449
_cell_length_c 14.4637
_cell_angle_alpha 90.00
_cell_angle_beta 90.00
_cell_angle_gamma 90.00
_space_group_name_H-M_alt 'I 4 m m'
_space_group_IT_number 107
_space_group_name_Hall 'I 4 -2'
loop_
_atom_site_label
_atom_site_fract_x
_atom_site_fract_y
_atom_site_fract_z
_atom_site_occupancy
Ta1 0.0000 0.0000 0.0000 1
Al1 0.0000 0.0000 0.3666 1
Cl1 0.0000 0.0000 0.6177 1
```

Its crystal system is tetragonal. The calculation puts the formation energy without anion corrections at -0.03 eV per atom. As for the energy above the most stable polymorph in this dataset: 61 kJ/mol of formula units. The calculation puts the final energy at -35.1 eV per cell.


Record 5
A plane-wave DFT calculation with PBE was carried out for a relaxed structure of TaAl2Cl.

Cell and atoms, written as CIF:
```
data_TaAl2Cl
_chemical_formula_sum 'Ta2 Al4 Cl2'
_cell_length_a 3.9154
_cell_length_b 3.9154
_cell_length_c 9.3305
_cell_angle_alpha 90.00
_cell_angle_beta 90.00
_cell_angle_gamma 90.00
_space_group_name_H-M_alt 'I -4 m 2'
_space_group_IT_number 119
_space_group_name_Hall 'I -4 -2'
loop_
_atom_site_label
_atom_site_fract_x
_atom_site_fract_y
_atom_site_fract_z
_atom_site_occupancy
Ta1 0.0000 0.0000 0.0000 1
Al1 0.0000 0.0000 0.5000 1
Al2 0.0000 0.5000 0.7500 1
Cl1 0.0000 0.5000 0.2500 1
```

Its crystal system is tetragonal. The calculation puts the formation energy without anion corrections at 0.49 eV per atom. As for the energy above the most stable polymorph in this dataset: 291 kJ/mol of formula units. The calculation puts the final energy at -38.5 eV per cell.


Record 6
A plane-wave DFT calculation with PBE was carried out for a relaxed structure of TaAl2Cl.

Cell and atoms, written as CIF:
```
data_TaAl2Cl
_chemical_formula_sum 'Ta1 Al2 Cl1'
_cell_length_a 2.9261
_cell_length_b 4.7895
_cell_length_c 5.0362
_cell_angle_alpha 90.00
_cell_angle_beta 93.36
_cell_angle_gamma 90.00
_space_group_name_H-M_alt 'P 1 m 1'
_space_group_IT_number 6
loop_
_space_group_symop_operation_xyz
'x,y,z'
'x,-y,z'
loop_
_atom_site_label
_atom_site_fract_x
_atom_site_fract_y
_atom_site_fract_z
_atom_site_occupancy
Ta1 0.0000 0.0000 0.0000 1
Al1 0.5019 0.0000 0.4895 1
Al2 0.5277 0.5000 0.1387 1
Cl1 0.9241 0.5000 0.6535 1
```

Its crystal system is monoclinic. The calculation puts the formation energy without anion corrections at -0.02 eV per atom. As for the energy above the most stable polymorph in this dataset: 94 kJ/mol of formula units. The calculation puts the final energy at -21.3 eV per cell.


Record 7
A plane-wave DFT calculation with PBE was carried out for a relaxed structure of TaAlCl.

Cell and atoms, written as CIF:
```
data_TaAlCl
_chemical_formula_sum 'Ta4 Al4 Cl4'
_cell_length_a 6.3769
_cell_length_b 6.3769
_cell_length_c 6.3769
_cell_angle_alpha 90.00
_cell_angle_beta 90.00
_cell_angle_gamma 90.00
_space_group_name_H-M_alt 'F -4 3 m'
_space_group_IT_number 216
_space_group_name_Hall 'F -4 2 3'
loop_
_atom_site_label
_atom_site_fract_x
_atom_site_fract_y
_atom_site_fract_z
_atom_site_occupancy
Ta1 0.0000 0.0000 0.0000 1
Al1 0.2500 0.2500 0.2500 1
Cl1 0.2500 0.2500 0.7500 1
```

Its crystal system is cubic. The calculation puts the formation energy without anion corrections at 0.93 eV per atom. As for the energy above the most stable polymorph in this dataset: 340 kJ/mol of formula units. The calculation puts the final energy at -58.6 eV per cell.


Record 8
A plane-wave DFT calculation with PBE was carried out for a relaxed structure of TaAlCl2.

Cell and atoms, written as CIF:
```
data_TaAlCl2
_chemical_formula_sum 'Ta2 Al2 Cl4'
_cell_length_a 2.9482
_cell_length_b 5.7996
_cell_length_c 9.7403
_cell_angle_alpha 90.00
_cell_angle_beta 90.00
_cell_angle_gamma 90.00
_space_group_name_H-M_alt 'C m m m'
_space_group_IT_number 65
_space_group_name_Hall '-C 2 2'
loop_
_atom_site_label
_atom_site_fract_x
_atom_site_fract_y
_atom_site_fract_z
_atom_site_occupancy
Ta1 0.0000 0.0000 0.0000 1
Al1 0.0000 0.0000 0.5000 1
Cl1 0.0000 0.5000 0.2093 1
```

Its crystal system is orthorhombic. The calculation puts the formation energy without anion corrections at -0.18 eV per atom. As for the energy above the most stable polymorph in this dataset: 232 kJ/mol of formula units. The calculation puts the final energy at -40.0 eV per cell.


Record 9
A plane-wave DFT calculation with PBE was carried out for a relaxed structure of Ta2AlCl.

Cell and atoms, written as CIF:
```
data_Ta2AlCl
_chemical_formula_sum 'Ta8 Al4 Cl4'
_cell_length_a 6.4803
_cell_length_b 6.4803
_cell_length_c 6.4803
_cell_angle_alpha 90.00
_cell_angle_beta 90.00
_cell_angle_gamma 90.00
_space_group_name_H-M_alt 'F m -3 m'
_space_group_IT_number 225
_space_group_name_Hall '-F 4 2 3'
loop_
_atom_site_label
_atom_site_fract_x
_atom_site_fract_y
_atom_site_fract_z
_atom_site_occupancy
Ta1 0.2500 0.2500 0.2500 1
Al1 0.0000 0.0000 0.0000 1
Cl1 0.0000 0.0000 0.5000 1
```

Its crystal system is cubic. The calculation puts the formation energy without anion corrections at 0.45 eV per atom. As for the energy above the most stable polymorph in this dataset: 205 kJ/mol of formula units. The calculation puts the final energy at -109.9 eV per cell.


Record 10
A plane-wave DFT calculation with PBE was carried out for a relaxed structure of TaAlTc2Cl.

Cell and atoms, written as CIF:
```
data_TaAlTc2Cl
_chemical_formula_sum 'Ta1 Al1 Tc2 Cl1'
_cell_length_a 4.3649
_cell_length_b 4.3649
_cell_length_c 4.4632
_cell_angle_alpha 90.00
_cell_angle_beta 90.00
_cell_angle_gamma 90.00
_space_group_name_H-M_alt 'P 4/m m m'
_space_group_IT_number 123
_space_group_name_Hall '-P 4 2'
loop_
_atom_site_label
_atom_site_fract_x
_atom_site_fract_y
_atom_site_fract_z
_atom_site_occupancy
Ta1 0.0000 0.0000 0.0000 1
Al1 0.5000 0.5000 0.0000 1
Tc1 0.0000 0.5000 0.5000 1
Cl1 0.0000 0.0000 0.5000 1
```

Its crystal system is tetragonal. The calculation puts the formation energy without anion corrections at 0.84 eV per atom. The calculation puts the final energy at -34.0 eV per cell.


Record 11
A plane-wave DFT calculation with PBE was carried out for a relaxed structure of TaAl2TeCl.

Cell and atoms, written as CIF:
```
data_TaAl2TeCl
_chemical_formula_sum 'Ta1 Al2 Te1 Cl1'
_cell_length_a 4.5340
_cell_length_b 4.5340
_cell_length_c 5.3404
_cell_angle_alpha 90.00
_cell_angle_beta 90.00
_cell_angle_gamma 90.00
_space_group_name_H-M_alt 'P 4/m m m'
_space_group_IT_number 123
_space_group_name_Hall '-P 4 2'
loop_
_atom_site_label
_atom_site_fract_x
_atom_site_fract_y
_atom_site_fract_z
_atom_site_occupancy
Ta1 0.0000 0.0000 0.0000 1
Al1 0.0000 0.5000 0.5000 1
Te1 0.5000 0.5000 0.0000 1
Cl1 0.5000 0.5000 0.5000 1
```

Its crystal system is tetragonal. The calculation puts the formation energy without anion corrections at 1.09 eV per atom. The calculation puts the final energy at -18.9 eV per cell.


Record 12
A plane-wave DFT calculation with PBE was carried out for a relaxed structure of TaAlVCl2.

Cell and atoms, written as CIF:
```
data_TaAlVCl2
_chemical_formula_sum 'Ta1 Al1 V1 Cl2'
_cell_length_a 4.7050
_cell_length_b 4.7050
_cell_length_c 5.4443
_cell_angle_alpha 90.00
_cell_angle_beta 90.00
_cell_angle_gamma 90.00
_space_group_name_H-M_alt 'P 4/m m m'
_space_group_IT_number 123
_space_group_name_Hall '-P 4 2'
loop_
_atom_site_label
_atom_site_fract_x
_atom_site_fract_y
_atom_site_fract_z
_atom_site_occupancy
Ta1 0.0000 0.0000 0.0000 1
Al1 0.5000 0.5000 0.5000 1
V1 0.0000 0.0000 0.5000 1
Cl1 0.0000 0.5000 0.0000 1
```

Its crystal system is tetragonal. The calculation puts the formation energy without anion corrections at 0.55 eV per atom. The calculation puts the final energy at -25.7 eV per cell.